## PmDy7Th2 (PBE-GGA)

Data for a relaxed PmDy7Th2 crystal.

Structure (POSCAR):
```
PmDy7Th2
1.0
3.490 0.000 0.000
0.000 9.928 -2.684
0.000 -0.627 10.265
Pm Dy Th
1 7 2
direct
0.000 0.000 0.000 Pm
0.000 0.668 0.332 Dy
0.000 0.332 0.668 Dy
0.500 0.131 0.389 Dy
0.500 0.869 0.611 Dy
0.500 0.389 0.131 Dy
0.500 0.611 0.869 Dy
0.500 0.500 0.500 Dy
0.500 0.826 0.174 Th
0.500 0.174 0.826 Th
```

Values from the calculation:
SG: Cmmm, No. 65
final energy: -4.7217 eV per atom
polymorph energy (0 for the lowest one): 0.000 eV/atom


## Y3HoEr2Se6 (PBE-GGA)

Data for a relaxed Y3HoEr2Se6 crystal.

Structure (POSCAR):
```
Y3HoEr2Se6
1.0
7.038 -0.022 -0.003
-3.537 6.085 -0.003
-1.171 -2.028 6.665
Y Ho Er Se
3 1 2 6
direct
0.166 0.834 0.500 Y
0.834 0.166 0.500 Y
0.500 0.500 0.500 Y
0.000 0.000 0.000 Ho
0.334 0.666 0.000 Er
0.666 0.334 0.000 Er
0.918 0.584 0.754 Se
0.747 0.747 0.246 Se
0.082 0.416 0.246 Se
0.584 0.918 0.754 Se
0.253 0.253 0.754 Se
0.416 0.082 0.246 Se
```

Values from the calculation:
E_form (uncorrected): -1736 meV per atom
SG: C2/m, No. 12
final energy: -6.2360 eV per atom


## GaCuTe (PBE-GGA)

Data for a relaxed GaCuTe crystal.

Structure (POSCAR):
```
GaCuTe
1.0
7.317 0.000 -0.170
0.000 6.349 0.000
-3.605 0.000 5.609
Te Cu Ga
4 4 4
direct
0.670 0.004 0.856 Te
0.830 0.504 0.144 Te
0.330 0.996 0.144 Te
0.170 0.496 0.856 Te
0.938 0.891 0.316 Cu
0.562 0.391 0.684 Cu
0.062 0.109 0.684 Cu
0.438 0.609 0.316 Cu
0.811 0.787 0.594 Ga
0.689 0.287 0.406 Ga
0.189 0.213 0.406 Ga
0.311 0.713 0.594 Ga
```

Values from the calculation:
E_form (uncorrected): -55 meV per atom
SG: P2_1/c, No. 14
final energy: -3.4769 eV per atom
polymorph energy (0 for the lowest one): 0.087 eV/atom


## HfHgS2 (PBE-GGA)

Data for a relaxed HfHgS2 crystal.

Structure (POSCAR):
```
HfHgS2
1.0
6.941 0.000 0.000
0.000 6.991 0.000
0.000 0.000 6.802
S Hf Hg
8 4 4
direct
0.152 0.838 0.179 S
0.848 0.162 0.679 S
0.348 0.338 0.679 S
0.652 0.662 0.179 S
0.152 0.838 0.696 S
0.848 0.162 0.196 S
0.348 0.338 0.196 S
0.652 0.662 0.696 S
0.866 0.869 0.937 Hf
0.134 0.131 0.437 Hf
0.634 0.369 0.437 Hf
0.366 0.631 0.937 Hf
0.976 0.451 0.937 Hg
0.024 0.549 0.437 Hg
0.524 0.951 0.437 Hg
0.476 0.049 0.937 Hg
```

Values from the calculation:
E_form (uncorrected): -947 meV per atom
SG: Pnma, No. 62
final energy: -5.5742 eV per atom